TbYGa2Ir4: relaxed, PBE-GGA.

Unit cell a=4.595 b=4.595 c=6.500 alpha=90.00 beta=90.00 gamma=90.00
Element x y z (fractional)
Tb (0.000, 0.000, 0.000)
Y (0.500, 0.500, 0.500)
Ga (0.000, 0.000, 0.500)
Ga (0.500, 0.500, 0.000)
Ir (0.000, 0.500, 0.250)
Ir (0.000, 0.500, 0.750)
Ir (0.500, 0.000, 0.250)
Ir (0.500, 0.000, 0.750)

## Properties
Space group   P4/mmm (123)
E above lowest polymorph   31 meV per atom
Total magnetization   0.00 μB/cell

Cs2CuGeBr6: relaxed, PBE-GGA.

Unit cell a=7.634 b=7.634 c=7.634 alpha=60.00 beta=60.00 gamma=60.00
Element x y z (fractional)
Cs (0.250, 0.250, 0.250)
Cs (0.750, 0.750, 0.750)
Cu (0.000, 0.000, 0.000)
Ge (0.500, 0.500, 0.500)
Br (0.246, 0.246, 0.754)
Br (0.246, 0.754, 0.246)
Br (0.246, 0.754, 0.754)
Br (0.754, 0.246, 0.246)
Br (0.754, 0.246, 0.754)
Br (0.754, 0.754, 0.246)

## Properties
Space group   Fm-3m (225)
DFT total energy   -3.008 eV/atom

NaPrTe3Pd: relaxed, PBE-GGA.

Unit cell a=8.469 b=8.469 c=10.400 alpha=90.00 beta=90.00 gamma=149.60
Element x y z (fractional)
Na (0.244, 0.756, 0.750)
Na (0.756, 0.244, 0.250)
Pr (0.000, 0.000, 0.000)
Pr (0.000, 0.000, 0.500)
Te (0.110, 0.890, 0.250)
Te (0.373, 0.627, 0.098)
Te (0.373, 0.627, 0.402)
Te (0.627, 0.373, 0.598)
Te (0.627, 0.373, 0.902)
Te (0.890, 0.110, 0.750)
Pd (0.494, 0.506, 0.750)
Pd (0.506, 0.494, 0.250)

## Properties
Space group   Cmcm (63)
Total magnetization   0.01 μB/cell
DFT total energy   -4.352 eV/atom

What did the third record say?
NaPrTe3Pd: relaxed, PBE-GGA.

Unit cell a=8.469 b=8.469 c=10.400 alpha=90.00 beta=90.00 gamma=149.60
Element x y z (fractional)
Na (0.244, 0.756, 0.750)
Na (0.756, 0.244, 0.250)
Pr (0.000, 0.000, 0.000)
Pr (0.000, 0.000, 0.500)
Te (0.110, 0.890, 0.250)
Te (0.373, 0.627, 0.098)
Te (0.373, 0.627, 0.402)
Te (0.627, 0.373, 0.598)
Te (0.627, 0.373, 0.902)
Te (0.890, 0.110, 0.750)
Pd (0.494, 0.506, 0.750)
Pd (0.506, 0.494, 0.250)

## Properties
Space group   Cmcm (63)
Total magnetization   0.01 μB/cell
DFT total energy   -4.352 eV/atom